ZrHgOsF2 | PBE-GGA | relaxed

Cell and atoms, written as extended XYZ:
```
5
Lattice="4.0607 0.0000 0.0000 0.0000 4.0607 0.0000 0.0000 0.0000 6.0084" Properties=species:S:1:pos:R:3 pbc="T T T"
Zr 0.0000 0.0000 0.0000
Hg 0.0000 0.0000 3.0042
Os 2.0304 2.0304 3.0042
F 0.0000 2.0304 0.0000
F 2.0304 0.0000 0.0000
```

Values from the calculation:
magnetic moment = 1.9 μB per cell
uncorrected formation energy = -3.4 eV/f.u.
DOS at the Fermi energy = 0.608 states/eV per atom